# 1
# La2HgP3Pd4 PBE optimized geometry
data_La2HgP3Pd4
_symmetry_space_group_name_H-M 'P 1'
_symmetry_Int_Tables_number 1
_cell_length_a 4.213
_cell_length_b 4.213
_cell_length_c 10.831
_cell_angle_alpha 90.00
_cell_angle_beta 90.00
_cell_angle_gamma 90.00
loop_
_symmetry_equiv_pos_as_xyz
'x,y,z'
loop_
_atom_site_label
_atom_site_fract_x
_atom_site_fract_y
_atom_site_fract_z
La1 0.000 0.500 0.233
La2 0.500 0.000 0.767
Hg1 0.000 0.000 0.500
P1 0.000 0.500 0.874
P2 0.500 0.000 0.126
P3 0.500 0.500 0.500
Pd1 0.000 0.000 0.000
Pd2 0.000 0.500 0.658
Pd3 0.500 0.000 0.342
Pd4 0.500 0.500 0.000
# Space group ... P-4m2, No. 115
# Magnetic moment ... 0.00 μB/f.u.
# Energy of formation ... -80.2 kJ per mole of atoms



# 2
# KSi2PtBr PBE optimized geometry
data_KSi2PtBr
_symmetry_space_group_name_H-M 'P 1'
_symmetry_Int_Tables_number 1
_cell_length_a 4.533
_cell_length_b 4.533
_cell_length_c 9.455
_cell_angle_alpha 90.00
_cell_angle_beta 90.00
_cell_angle_gamma 90.00
loop_
_symmetry_equiv_pos_as_xyz
'x,y,z'
loop_
_atom_site_label
_atom_site_fract_x
_atom_site_fract_y
_atom_site_fract_z
K1 0.000 0.000 0.000
Si1 0.000 0.500 0.500
Si2 0.500 0.000 0.500
Pt1 0.500 0.500 0.500
Br1 0.500 0.500 0.000
# Space group ... P4/mmm, No. 123
# Magnetic moment ... 0.00 μB/f.u.
# E_form (uncorrected) ... -277 meV/atom



What is the formula in the second record? KSi2PtBr